Entry 1:
An optimized crystal structure of K2ZnOs. Source: Alexandria via LeMat-Bulk, functional PBE-GGA.

Cell lengths 2.8554, 4.1681, 9.9766 Å; angles 90.00, 90.00, 90.00 degrees
Positions (direct):
K  0.0000  0.0000  0.0000
K  0.5000  0.5000  0.4314
Zn  0.5000  0.5000  0.7421
Os  0.0000  0.0000  0.6842

Values from the calculation:
- total moment (μB per cell) = 0.00
- ΔE_f (eV per atom) = 0.6598
- space group = No. 25


Entry 2:
An optimized crystal structure of KZnOs3. Source: Alexandria via LeMat-Bulk, functional PBE-GGA.

Cell lengths 4.6738, 4.6738, 4.6738 Å; angles 90.00, 90.00, 90.00 degrees
Positions (direct):
K  0.0000  0.0000  0.0000
Zn  0.5000  0.5000  0.5000
Os  0.0000  0.5000  0.5000
Os  0.5000  0.0000  0.5000
Os  0.5000  0.5000  0.0000

Values from the calculation:
- total moment (μB per cell) = 2.50
- ΔE_f (eV per atom) = 2.2768
- space group = No. 221


Entry 3:
An optimized crystal structure of KZnOs. Source: Alexandria via LeMat-Bulk, functional PBE-GGA.

Cell lengths 4.6620, 4.6620, 4.6620 Å; angles 60.00, 60.00, 60.00 degrees
Positions (direct):
K  0.0000  0.0000  0.0000
Zn  0.7500  0.7500  0.7500
Os  0.5000  0.5000  0.5000

Values from the calculation:
- total moment (μB per cell) = 1.26
- ΔE_f (eV per atom) = 1.6379
- space group = No. 216


Entry 4:
An optimized crystal structure of KZnOs2. Source: Alexandria via LeMat-Bulk, functional PBE-GGA.

Cell lengths 9.8403, 9.8403, 9.8403 Å; angles 152.92, 152.92, 38.67 degrees
Positions (direct):
K  0.0000  0.0000  0.0000
K  0.7500  0.2500  0.5000
Zn  0.2500  0.7500  0.5000
Zn  0.5000  0.5000  0.0000
Os  0.3122  0.1250  0.6872
Os  0.3750  0.6878  0.8128
Os  0.4378  0.6250  0.3128
Os  0.8750  0.5622  0.1872

Values from the calculation:
- total moment (μB per cell) = 0.00
- ΔE_f (eV per atom) = 1.2542
- space group = No. 122


Entry 5:
An optimized crystal structure of KZnOs2. Source: Alexandria via LeMat-Bulk, functional PBE-GGA.

Cell lengths 5.7022, 5.7022, 2.5454 Å; angles 90.00, 90.00, 121.54 degrees
Positions (direct):
K  0.0000  0.0000  0.0000
Zn  0.5000  0.5000  0.0000
Os  0.0000  0.5000  0.5000
Os  0.5000  0.0000  0.5000

Values from the calculation:
- total moment (μB per cell) = 0.00
- ΔE_f (eV per atom) = 1.2688
- space group = No. 65


Entry 6:
An optimized crystal structure of K2ZnOs. Source: Alexandria via LeMat-Bulk, functional PBE-GGA.

Cell lengths 2.7874, 5.5503, 5.7602 Å; angles 90.00, 91.11, 90.00 degrees
Positions (direct):
K  0.0042  0.0000  0.2461
K  0.9958  0.0000  0.7539
Zn  0.5000  0.5000  0.5000
Os  0.5000  0.5000  0.0000

Values from the calculation:
- total moment (μB per cell) = 0.00
- ΔE_f (eV per atom) = 1.0609
- space group = No. 10